[1]
# NaNb2Se | Alexandria | PBE-GGA | optimized geometry
data_NaNb2Se
_space_group_name_H-M_alt 'P 1'
_space_group_IT_number 1
_cell_length_a 3.917
_cell_length_b 3.917
_cell_length_c 10.698
_cell_angle_alpha 79.45
_cell_angle_beta 79.45
_cell_angle_gamma 90.00
loop_
_space_group_symop_operation_xyz
'x,y,z'
loop_
_atom_site_label
_atom_site_fract_x
_atom_site_fract_y
_atom_site_fract_z
_atom_site_occupancy
Na1 0.500 0.500 0.000 1
Na2 0.250 0.750 0.500 1
Nb1 0.651 0.125 0.250 1
Nb2 0.099 0.625 0.250 1
Nb3 0.375 0.349 0.750 1
Nb4 0.875 0.901 0.750 1
Se1 0.000 0.000 0.000 1
Se2 0.750 0.250 0.500 1
# crystal system	tetragonal
# formation energy without anion corrections	0.34	eV/atom
# density of states at the Fermi level	2.886	states/eV/f.u.
# spin magnetization	0.0	μB per formula unit
# density	6.03	g/cm³



[2]
# BaSm2Ho | Alexandria | PBE-GGA | optimized geometry
data_BaSm2Ho
_space_group_name_H-M_alt 'P 1'
_space_group_IT_number 1
_cell_length_a 3.736
_cell_length_b 3.736
_cell_length_c 10.817
_cell_angle_alpha 90.00
_cell_angle_beta 90.00
_cell_angle_gamma 90.00
loop_
_space_group_symop_operation_xyz
'x,y,z'
loop_
_atom_site_label
_atom_site_fract_x
_atom_site_fract_y
_atom_site_fract_z
_atom_site_occupancy
Ho1 0.500 0.500 0.000 1
Sm1 0.000 0.000 0.784 1
Sm2 0.000 0.000 0.216 1
Ba1 0.500 0.500 0.500 1
# crystal system	tetragonal
# density of states at the Fermi level	5.335	states/eV/f.u.
# E above lowest polymorph	0	meV/atom
# spin magnetization	0.0	μB per formula unit
# density	6.63	g/cm³
# DFT formation energy	130	meV/atom



[3]
# AcHoLu | Alexandria | PBE-GGA | optimized geometry
data_AcHoLu
_space_group_name_H-M_alt 'P 1'
_space_group_IT_number 1
_cell_length_a 3.700
_cell_length_b 3.700
_cell_length_c 8.046
_cell_angle_alpha 103.29
_cell_angle_beta 103.29
_cell_angle_gamma 90.00
loop_
_space_group_symop_operation_xyz
'x,y,z'
loop_
_atom_site_label
_atom_site_fract_x
_atom_site_fract_y
_atom_site_fract_z
_atom_site_occupancy
Ac1 0.999 0.999 0.999 1
Lu1 0.327 0.327 0.653 1
Ho1 0.674 0.674 0.348 1
# crystal system	tetragonal
# density of states at the Fermi level	4.392	states/eV/f.u.
# E above lowest polymorph	0	meV/atom
# spin magnetization	0.0	μB per formula unit
# density	9.03	g/cm³
# DFT formation energy	79	meV/atom



[4]
# CaCoAs3 | Alexandria | PBE-GGA | optimized geometry
data_CaCoAs3
_space_group_name_H-M_alt 'P 1'
_space_group_IT_number 1
_cell_length_a 4.712
_cell_length_b 4.712
_cell_length_c 4.712
_cell_angle_alpha 90.00
_cell_angle_beta 90.00
_cell_angle_gamma 90.00
loop_
_space_group_symop_operation_xyz
'x,y,z'
loop_
_atom_site_label
_atom_site_fract_x
_atom_site_fract_y
_atom_site_fract_z
_atom_site_occupancy
As1 0.000 0.500 0.000 1
As2 0.000 0.000 0.500 1
As3 0.500 0.000 0.000 1
Co1 0.000 0.000 0.000 1
Ca1 0.500 0.500 0.500 1
# crystal system	cubic
# density of states at the Fermi level	3.799	states/eV/f.u.
# spin magnetization	1.3	μB per formula unit
# density	5.14	g/cm³
# DFT formation energy	-120	meV/atom



[5]
# Sc3PtS | Alexandria | PBE-GGA | optimized geometry
data_Sc3PtS
_space_group_name_H-M_alt 'P 1'
_space_group_IT_number 1
_cell_length_a 4.712
_cell_length_b 4.712
_cell_length_c 4.712
_cell_angle_alpha 90.00
_cell_angle_beta 90.00
_cell_angle_gamma 90.00
loop_
_space_group_symop_operation_xyz
'x,y,z'
loop_
_atom_site_label
_atom_site_fract_x
_atom_site_fract_y
_atom_site_fract_z
_atom_site_occupancy
Sc1 0.000 0.500 0.000 1
Sc2 0.000 0.000 0.500 1
Sc3 0.500 0.000 0.000 1
S1 0.000 0.000 0.000 1
Pt1 0.500 0.500 0.500 1
# crystal system	cubic
# formation energy without anion corrections	-0.80	eV/atom
# density of states at the Fermi level	7.891	states/eV/f.u.
# E above lowest polymorph	0	meV/atom
# spin magnetization	0.0	μB per formula unit
# density	5.75	g/cm³



[6]
# AlBiSb3 | Alexandria | PBE-GGA | optimized geometry
data_AlBiSb3
_space_group_name_H-M_alt 'P 1'
_space_group_IT_number 1
_cell_length_a 5.845
_cell_length_b 5.845
_cell_length_c 5.845
_cell_angle_alpha 90.00
_cell_angle_beta 90.00
_cell_angle_gamma 90.00
loop_
_space_group_symop_operation_xyz
'x,y,z'
loop_
_atom_site_label
_atom_site_fract_x
_atom_site_fract_y
_atom_site_fract_z
_atom_site_occupancy
Sb1 0.000 0.500 0.000 1
Sb2 0.000 0.000 0.500 1
Sb3 0.500 0.000 0.000 1
Bi1 0.000 0.000 0.000 1
Al1 0.500 0.500 0.500 1
# crystal system	cubic
# formation energy without anion corrections	1.04	eV/atom
# density of states at the Fermi level	7.328	states/eV/f.u.
# E above lowest polymorph	587	meV/atom
# spin magnetization	0.0	μB per formula unit
# density	5.00	g/cm³



[7]
# ThTi2Sn | Alexandria | PBE-GGA | optimized geometry
data_ThTi2Sn
_space_group_name_H-M_alt 'P 1'
_space_group_IT_number 1
_cell_length_a 4.916
_cell_length_b 4.916
_cell_length_c 4.916
_cell_angle_alpha 60.00
_cell_angle_beta 60.00
_cell_angle_gamma 60.00
loop_
_space_group_symop_operation_xyz
'x,y,z'
loop_
_atom_site_label
_atom_site_fract_x
_atom_site_fract_y
_atom_site_fract_z
_atom_site_occupancy
Sn1 0.000 0.000 0.000 1
Th1 0.500 0.500 0.500 1
Ti1 0.250 0.250 0.250 1
Ti2 0.750 0.750 0.750 1
# crystal system	cubic
# density of states at the Fermi level	6.064	states/eV/f.u.
# E above lowest polymorph	35	meV/atom
# spin magnetization	0.0	μB per formula unit
# density	8.83	g/cm³
# DFT formation energy	-172	meV/atom



[8]
# Th2OsPb | Alexandria | PBE-GGA | optimized geometry
data_Th2OsPb
_space_group_name_H-M_alt 'P 1'
_space_group_IT_number 1
_cell_length_a 5.765
_cell_length_b 3.974
_cell_length_c 10.497
_cell_angle_alpha 100.87
_cell_angle_beta 101.26
_cell_angle_gamma 89.99
loop_
_space_group_symop_operation_xyz
'x,y,z'
loop_
_atom_site_label
_atom_site_fract_x
_atom_site_fract_y
_atom_site_fract_z
_atom_site_occupancy
Th1 0.726 0.637 0.165 1
Th2 0.703 0.443 0.778 1
Th3 0.199 0.273 0.438 1
Th4 0.176 0.081 0.051 1
Os1 0.252 0.681 0.252 1
Os2 0.649 0.036 0.964 1
Pb1 0.203 0.918 0.730 1
Pb2 0.699 0.798 0.486 1
# crystal system	triclinic
# density of states at the Fermi level	2.851	states/eV/f.u.
# E above lowest polymorph	0	meV/atom
# spin magnetization	0.0	μB per formula unit
# density	12.36	g/cm³
# DFT formation energy	-305	meV/atom



[9]
# LiCrSe2 | Alexandria | PBE-GGA | optimized geometry
data_LiCrSe2
_space_group_name_H-M_alt 'P 1'
_space_group_IT_number 1
_cell_length_a 5.182
_cell_length_b 5.182
_cell_length_c 5.182
_cell_angle_alpha 138.95
_cell_angle_beta 102.25
_cell_angle_gamma 91.93
loop_
_space_group_symop_operation_xyz
'x,y,z'
loop_
_atom_site_label
_atom_site_fract_x
_atom_site_fract_y
_atom_site_fract_z
_atom_site_occupancy
Cr1 0.750 0.250 0.500 1
Li1 0.250 0.750 0.500 1
Se1 0.982 0.982 0.000 1
Se2 0.518 0.518 0.000 1
# crystal system	orthorhombic
# formation energy without anion corrections	-0.49	eV/atom
# density of states at the Fermi level	0.778	states/eV/f.u.
# spin magnetization	3.0	μB per formula unit
# density	4.23	g/cm³



[10]
# PuZr2Pa3 | Alexandria | PBE-GGA | optimized geometry
data_PuZr2Pa3
_space_group_name_H-M_alt 'P 1'
_space_group_IT_number 1
_cell_length_a 7.969
_cell_length_b 6.330
_cell_length_c 7.451
_cell_angle_alpha 98.46
_cell_angle_beta 90.00
_cell_angle_gamma 129.01
loop_
_space_group_symop_operation_xyz
'x,y,z'
loop_
_atom_site_label
_atom_site_fract_x
_atom_site_fract_y
_atom_site_fract_z
_atom_site_occupancy
Pu1 0.316 0.632 0.339 1
Pu2 0.684 0.368 0.661 1
Zr1 0.000 0.000 0.000 1
Zr2 0.500 0.000 0.000 1
Zr3 0.000 0.500 0.000 1
Zr4 0.500 0.500 0.000 1
Pa1 0.181 0.849 0.661 1
Pa2 0.171 0.342 0.661 1
Pa3 0.668 0.849 0.661 1
Pa4 0.819 0.151 0.339 1
Pa5 0.332 0.151 0.339 1
Pa6 0.829 0.658 0.339 1
# crystal system	monoclinic
# density of states at the Fermi level	10.970	states/eV/f.u.
# spin magnetization	4.6	μB per formula unit
# density	12.97	g/cm³
# DFT formation energy	63	meV/atom